# 1
Zn11Ag: relaxed, GGA-PBE.

## Properties
Fermi-level density of states = 6.042 states/eV/cell
E_form = 5 kJ per mole of atoms
Space group = I4_1/amd, No. 141

```
24
Lattice="-4.972 -1.129 0.963 -3.966 -1.281 -7.997 -0.508 -8.964 0.846" Properties=species:S:1:pos:R:3 pbc="T T T"
Zn -4.715 -1.657 -5.301
Zn -7.567 -6.758 -5.040
Zn -5.216 -5.593 -5.549
Zn -4.097 -8.079 -2.687
Zn -4.222 -5.779 -0.640
Zn -3.208 -3.290 0.525
Zn -5.341 -3.293 -3.502
Zn -5.219 -8.107 -5.002
Zn -4.081 -1.352 -1.707
Zn -2.251 -9.154 -1.367
Zn -5.468 -3.549 -0.945
Zn -2.376 -6.854 0.680
Zn -5.965 -5.969 -2.853
Zn -8.715 -8.647 -6.232
Zn -4.590 -3.957 -7.348
Zn -5.722 -8.031 -0.522
Zn -1.884 -4.617 -1.146
Zn 0.000 0.000 0.000
Zn -7.843 -10.585 -4.001
Zn -7.451 -4.190 -4.943
Zn -6.695 -8.696 -2.809
Zn -2.757 -2.679 -3.378
Ag -3.480 -5.405 -3.335
Ag -2.486 -0.565 0.482
```

---

# 2
Zn4Ag: relaxed, GGA-PBE.

## Properties
Excess energy over the best structure of this formula in the dataset = 0.0 kJ per mole of atoms
Fermi-level density of states = 1.190 states/eV/cell
E_form = 0 kJ per mole of atoms
Space group = Immm, No. 71

```
5
Lattice="2.914 0.000 0.000 -1.457 7.060 -0.019 0.000 -1.086 3.782" Properties=species:S:1:pos:R:3 pbc="T T T"
Zn 0.000 5.171 1.485
Zn 0.000 2.635 0.757
Zn 1.457 0.802 2.278
Zn 1.457 3.339 3.006
Ag 0.000 0.000 0.000
```

---

# 3
ZnAg2: relaxed, GGA-PBE.

## Properties
Excess energy over the best structure of this formula in the dataset = 3.5 kJ per mole of atoms
Fermi-level density of states = 2.375 states/eV/cell
E_form = -1 kJ per mole of atoms
Space group = P6_3/mmc, No. 194

```
6
Lattice="4.546 0.000 0.000 -2.273 3.937 0.000 0.000 0.000 5.666" Properties=species:S:1:pos:R:3 pbc="T T T"
Ag 0.000 2.624 1.416
Ag 0.000 0.000 0.000
Ag 0.000 0.000 2.833
Ag 2.273 1.312 4.249
Zn 0.000 2.624 4.249
Zn 2.273 1.312 1.416
```

---

# 4
Zn8Ag5: relaxed, GGA-PBE.

## Properties
Fermi-level density of states = 10.994 states/eV/cell
E_form = -4 kJ per mole of atoms
Space group = I-43m, No. 217

```
26
Lattice="8.160 0.000 0.000 -2.720 7.694 0.000 -2.720 -3.847 6.663" Properties=species:S:1:pos:R:3 pbc="T T T"
Ag 1.922 2.718 0.000
Ag 3.518 4.976 0.000
Ag -0.973 -1.376 2.384
Ag 2.920 0.000 0.000
Ag -1.922 1.359 2.354
Ag 3.518 -2.488 4.309
Ag 1.922 -1.359 2.354
Ag 1.747 2.471 4.279
Ag -3.518 2.488 4.309
Ag -0.973 2.753 0.000
Zn 4.575 -1.102 1.909
Zn 6.343 0.000 0.000
Zn 0.553 -2.524 4.372
Zn -2.564 3.946 1.909
Zn -2.564 -0.320 4.372
Zn 0.156 3.527 2.291
Zn 4.575 2.204 0.000
Zn 2.876 0.099 4.754
Zn 0.553 5.048 0.000
Zn -2.114 -2.990 5.179
Zn 2.876 4.068 2.463
Zn 0.156 0.221 4.200
Zn 3.273 1.323 2.291
Zn -2.114 5.981 0.000
Zn 0.606 0.857 1.484
Zn -0.865 2.745 4.754
```